1.
Density functional theory data (GGA-PBE) for crystalline MgZnAsIr at its relaxed geometry.

Cell and atoms, written as POSCAR:
```
MgZnAsIr
1.0
0.0000 3.1672 3.1672
3.1672 0.0000 3.1672
3.1672 3.1672 0.0000
Mg Zn As Ir
1 1 1 1
direct
0.0000 0.0000 0.0000 Mg
0.2500 0.2500 0.2500 Zn
0.5000 0.5000 0.5000 As
0.7500 0.7500 0.7500 Ir
```

## Properties
As for the space group: F-43m, No. 216.

2.
Density functional theory data (GGA-PBE) for crystalline MgZnAsIr at its relaxed geometry.

Cell and atoms, written as POSCAR:
```
MgZnAsIr
1.0
0.0000 3.1476 3.1476
3.1476 0.0000 3.1476
3.1476 3.1476 0.0000
Mg Zn As Ir
1 1 1 1
direct
0.0000 0.0000 0.0000 Mg
0.2500 0.2500 0.2500 Zn
0.7500 0.7500 0.7500 As
0.5000 0.5000 0.5000 Ir
```

## Properties
As for the space group: F-43m, No. 216.

Order from most stable to least stable according to the calculation: 2, 1

1.
Density functional theory data (GGA-PBE) for crystalline AsIrNO at its relaxed geometry.

Cell and atoms, written as POSCAR:
```
AsIrNO
1.0
3.0016 0.0000 0.0000
0.0000 5.8950 0.0000
0.0000 0.0000 5.9741
As Ir N O
2 2 2 2
direct
0.0000 0.2016 0.0000 As
0.0000 0.7984 0.5000 As
0.5000 0.4204 0.4986 Ir
0.5000 0.5796 0.9986 Ir
0.5000 0.2807 0.1978 N
0.5000 0.7193 0.6978 N
0.0000 0.2142 0.5860 O
0.0000 0.7858 0.0860 O
```

## Properties
As for the space group: Pmc2_1, No. 26.

2.
Density functional theory data (GGA-PBE) for crystalline AsIrNO at its relaxed geometry.

Cell and atoms, written as POSCAR:
```
AsIrNO
1.0
3.8548 0.0000 0.0000
0.0000 3.8548 0.0000
0.0000 0.0000 6.8538
As Ir N O
2 2 2 2
direct
0.2500 0.2500 0.1399 As
0.7500 0.7500 0.8601 As
0.2500 0.7500 0.5000 Ir
0.7500 0.2500 0.5000 Ir
0.2500 0.2500 0.6221 N
0.7500 0.7500 0.3779 N
0.2500 0.7500 0.0000 O
0.7500 0.2500 0.0000 O
```

## Properties
As for the space group: P4/nmm, No. 129.

Order from most stable to least stable according to the calculation: 1, 2

1.
Density functional theory data (GGA-PBE) for crystalline NaScAsIr at its relaxed geometry.

Cell and atoms, written as POSCAR:
```
NaScAsIr
1.0
0.0000 3.2148 3.2148
3.2148 0.0000 3.2148
3.2148 3.2148 0.0000
Na Sc As Ir
1 1 1 1
direct
0.0000 0.0000 0.0000 Na
0.2500 0.2500 0.2500 Sc
0.7500 0.7500 0.7500 As
0.5000 0.5000 0.5000 Ir
```

## Properties
As for the space group: F-43m, No. 216.

2.
Density functional theory data (GGA-PBE) for crystalline NaScAsIr at its relaxed geometry.

Cell and atoms, written as POSCAR:
```
NaScAsIr
1.0
0.0000 3.2828 3.2828
3.2828 0.0000 3.2828
3.2828 3.2828 0.0000
Na Sc As Ir
1 1 1 1
direct
0.0000 0.0000 0.0000 Na
0.5000 0.5000 0.5000 Sc
0.2500 0.2500 0.2500 As
0.7500 0.7500 0.7500 Ir
```

## Properties
As for the space group: F-43m, No. 216.

Order from most stable to least stable according to the calculation: 1, 2

1.
Density functional theory data (GGA-PBE) for crystalline NaTlAsIr at its relaxed geometry.

Cell and atoms, written as POSCAR:
```
NaTlAsIr
1.0
0.0000 3.3343 3.3343
3.3343 0.0000 3.3343
3.3343 3.3343 0.0000
Na Tl As Ir
1 1 1 1
direct
0.0000 0.0000 0.0000 Na
0.2500 0.2500 0.2500 Tl
0.7500 0.7500 0.7500 As
0.5000 0.5000 0.5000 Ir
```

## Properties
As for the space group: F-43m, No. 216.

2.
Density functional theory data (GGA-PBE) for crystalline NaTlAsIr at its relaxed geometry.

Cell and atoms, written as POSCAR:
```
NaTlAsIr
1.0
0.0000 3.4054 3.4054
3.4054 0.0000 3.4054
3.4054 3.4054 0.0000
Na Tl As Ir
1 1 1 1
direct
0.0000 0.0000 0.0000 Na
0.5000 0.5000 0.5000 Tl
0.2500 0.2500 0.2500 As
0.7500 0.7500 0.7500 Ir
```

## Properties
As for the space group: F-43m, No. 216.

Order from most stable to least stable according to the calculation: 1, 2

1.
Density functional theory data (GGA-PBE) for crystalline PrNiAs2Ir at its relaxed geometry.

Cell and atoms, written as POSCAR:
```
PrNiAs2Ir
1.0
4.2068 0.0000 0.0000
0.0000 4.2068 0.0000
0.0000 0.0000 9.9567
Pr Ni As Ir
2 2 4 2
direct
0.2500 0.2500 0.2449 Pr
0.7500 0.7500 0.7551 Pr
0.2500 0.2500 0.8820 Ni
0.7500 0.7500 0.1180 Ni
0.2500 0.2500 0.6453 As
0.2500 0.7500 0.0000 As
0.7500 0.2500 0.0000 As
0.7500 0.7500 0.3547 As
0.2500 0.7500 0.5000 Ir
0.7500 0.2500 0.5000 Ir
```

## Properties
As for the space group: P4/nmm, No. 129.

2.
Density functional theory data (GGA-PBE) for crystalline PrNiAs2Ir at its relaxed geometry.

Cell and atoms, written as POSCAR:
```
PrNiAs2Ir
1.0
4.3292 0.0000 0.0000
0.0000 4.3292 0.0000
0.0000 0.0000 9.7413
Pr Ni As Ir
2 2 4 2
direct
0.2500 0.2500 0.2451 Pr
0.7500 0.7500 0.7549 Pr
0.2500 0.7500 0.0000 Ni
0.7500 0.2500 0.0000 Ni
0.2500 0.2500 0.8790 As
0.2500 0.7500 0.5000 As
0.7500 0.2500 0.5000 As
0.7500 0.7500 0.1210 As
0.2500 0.2500 0.6221 Ir
0.7500 0.7500 0.3779 Ir
```

## Properties
As for the space group: P4/nmm, No. 129.

Order from most stable to least stable according to the calculation: 1, 2

1.
Density functional theory data (GGA-PBE) for crystalline As2Ir2O5 at its relaxed geometry.

Cell and atoms, written as POSCAR:
```
As2Ir2O5
1.0
3.8394 0.0000 0.0000
0.0000 3.8394 0.0000
0.0000 0.0000 6.9160
As Ir O
2 2 5
direct
0.0000 0.0000 0.0000 As
0.0000 0.0000 0.5000 As
0.5000 0.5000 0.1959 Ir
0.5000 0.5000 0.8041 Ir
0.0000 0.5000 0.2711 O
0.0000 0.5000 0.7289 O
0.5000 0.0000 0.2711 O
0.5000 0.0000 0.7289 O
0.5000 0.5000 0.5000 O
```

## Properties
As for the space group: P4/mmm, No. 123.

2.
Density functional theory data (GGA-PBE) for crystalline As2Ir2O5 at its relaxed geometry.

Cell and atoms, written as POSCAR:
```
As2Ir2O5
1.0
4.0883 0.0000 0.0000
0.0000 4.0883 0.0000
0.0000 0.0000 6.2190
As Ir O
2 2 5
direct
0.0000 0.0000 0.2173 As
0.0000 0.0000 0.7827 As
0.5000 0.5000 0.0000 Ir
0.5000 0.5000 0.5000 Ir
0.0000 0.0000 0.5000 O
0.0000 0.5000 0.2215 O
0.0000 0.5000 0.7785 O
0.5000 0.0000 0.2215 O
0.5000 0.0000 0.7785 O
```

## Properties
As for the space group: P4/mmm, No. 123.

Order from most stable to least stable according to the calculation: 1, 2